Model a:
CeTi4Se8 | PBE | optimized geometry

a = 7.2593 Å, b = 7.2593 Å, c = 20.4723 Å
α = 90.00°, β = 90.00°, γ = 120.00°
Space group R-3m (No. 166, hexagonal axes)
Asymmetric unit:
Ce (0.0000, 0.0000, 0.0000)
Ti (0.0000, 0.0000, 0.5000)
Ti (0.0000, 0.5000, 0.5000)
Se (0.0000, 0.0000, 0.2397)
Se (0.0102, 0.5051, 0.2421)

Properties
Crystal system ... trigonal
Total moment ... 5.3 μB per cell

Model b:
CeTi4Se8 | PBE | optimized geometry

a = 10.9187 Å, b = 10.9187 Å, c = 10.9187 Å
α = 90.00°, β = 90.00°, γ = 90.00°
Space group F-43m (No. 216)
Asymmetric unit:
Ce (0.0000, 0.0000, 0.0000)
Ti (0.1090, 0.1090, 0.6090)
Se (0.1236, 0.1236, 0.3764)
Se (0.1448, 0.1448, 0.8552)

Properties
Crystal system ... cubic
Total moment ... 16.2 μB per cell

Name the least stable of them. model b.

Model a:
CeTlSe3 | PBE | optimized geometry

a = 17.8236 Å, b = 4.3237 Å, c = 9.7005 Å
α = 90.00°, β = 121.81°, γ = 90.00°
Space group C2/m (No. 12)
Asymmetric unit:
Ce (0.1720, 0.0000, 0.2722)
Tl (0.1140, 0.5000, 0.7888)
Se (0.0242, 0.0000, 0.9061)
Se (0.1492, 0.5000, 0.4451)
Se (0.2361, 0.5000, 0.1636)

Properties
Crystal system ... monoclinic
Total moment ... 0.6 μB per cell

Model b:
CeTlSe3 | PBE | optimized geometry

a = 4.0580 Å, b = 9.0455 Å, c = 9.1841 Å
α = 113.40°, β = 92.56°, γ = 90.10°
Space group P-1 (No. 2)
Asymmetric unit:
Ce (0.2219, 0.0504, 0.3026)
Tl (0.2305, 0.5191, 0.2688)
Se (0.2620, 0.1624, 0.6501)
Se (0.2632, 0.7053, 0.6290)
Se (0.3682, 0.1019, 0.9660)

Properties
Crystal system ... triclinic
Total moment ... 0.0 μB per cell

Name the least stable of them. model a.

Model a:
Ce2TmSe4 | PBE | optimized geometry

a = 8.2062 Å, b = 8.3702 Å, c = 11.5629 Å
α = 90.00°, β = 90.00°, γ = 90.00°
Space group Imma (No. 74)
Asymmetric unit:
Ce (0.0000, 0.0000, 0.0000)
Ce (0.2500, 0.2500, 0.2500)
Tm (0.2500, 0.2500, 0.7500)
Se (0.0000, 0.0110, 0.7422)
Se (0.2489, 0.2500, 0.5056)

Properties
Crystal system ... orthorhombic
Total moment ... 8.7 μB per cell

Model b:
Ce2TmSe4 | PBE | optimized geometry

a = 3.9832 Å, b = 13.9237 Å, c = 14.0627 Å
α = 90.00°, β = 90.00°, γ = 90.00°
Space group Cmcm (No. 63)
Asymmetric unit:
Ce (0.0000, 0.1333, 0.0713)
Tm (0.0000, 0.3745, 0.2500)
Se (0.0000, 0.0211, 0.2500)
Se (0.0000, 0.2174, 0.6273)
Se (0.0000, 0.5000, 0.0000)

Properties
Crystal system ... orthorhombic
Total moment ... 9.7 μB per cell

Name the least stable of them. model b.